Record 1
Below is a relaxed structure of Lu2FeTe, with properties calculated at the PBE level.

Structure (POSCAR):
```
Lu2FeTe
1.0
3.7148 0.0000 0.0000
1.8574 3.2171 0.0000
1.8574 1.0724 9.1052
Lu Fe Te
2 1 1
Cartesian
5.5723 3.2171 2.4495
1.8574 1.0724 6.6557
0.0000 0.0000 0.0000
3.7148 2.1448 4.5526
```

## Properties
- formation energy (no corrections) (eV/atom) = 0.294

Record 2
Below is a relaxed structure of CuAgMo2, with properties calculated at the PBE level.

Structure (POSCAR):
```
CuAgMo2
1.0
-0.8951 4.4844 1.3813
-3.1803 3.1927 1.5846
0.9045 -0.8140 4.9936
Cu Mo Ag
1 2 1
Cartesian
-2.3782 5.1424 5.9383
-0.0282 0.0557 0.0369
-0.7922 1.7022 1.9098
-1.5578 3.3943 4.0543
```

## Properties
- formation energy (eV per atom) = 0.41

Record 3
Below is a relaxed structure of MnSiSnIrS, with properties calculated at the PBE level.

Structure (POSCAR):
```
MnSiSnIrS
1.0
8.2825 0.0000 -0.1723
0.0000 3.8188 0.0000
-1.6017 0.0000 6.3171
S Ir Si Sn Mn
2 2 2 2 2
Cartesian
2.3898 0.0000 0.5224
1.5890 1.9094 3.6810
7.3624 1.9094 0.6247
6.5615 0.0000 3.7832
-1.4867 0.0000 6.2700
-0.6858 1.9094 3.1114
4.8940 1.9094 2.2782
4.0932 0.0000 5.4367
0.8173 0.0000 2.3763
0.0164 1.9094 5.5349
```

## Properties
- formation energy (no corrections) (eV/atom) = -0.248

Record 4
Below is a relaxed structure of Sm2Ho6Tm3, with properties calculated at the PBE level.

Structure (POSCAR):
```
Sm2Ho6Tm3
1.0
-4.3184 0.1542 -1.8414
-1.1509 -3.8865 2.3735
-2.3351 11.1009 12.3970
Tm Ho Sm
3 6 2
Cartesian
0.0000 0.0000 0.0000
-5.7731 3.6686 7.8555
-2.0313 3.7001 5.0737
-4.4071 5.0363 10.7573
-3.3973 2.3324 2.1718
-5.9908 7.0566 8.6498
-1.8136 0.3121 4.2793
-4.7259 1.7612 5.2399
-3.0784 5.6075 7.6892
-3.2010 -1.0166 1.4309
-4.6034 8.3853 11.4982
```

## Properties
- formation energy (eV per atom) = 0.28

Record 5
Below is a relaxed structure of CrCoCu2, with properties calculated at the PBE level.

Structure (POSCAR):
```
CrCoCu2
1.0
-0.9836 -5.9501 2.5878
5.5051 -2.1507 -2.8525
3.4819 -3.4305 1.7571
Co Cu Cr
2 4 2
Cartesian
2.3795 -6.7155 2.1063
0.0000 0.0000 0.0000
4.2655 -5.5945 1.2401
6.6092 -9.6773 1.0647
4.1956 -2.9007 -1.0396
0.9364 -4.8902 1.7196
2.2607 -4.0504 -0.1323
5.6239 -4.8158 -0.6139
```

## Properties
- formation energy (eV per atom) = 0.83

Record 6
Below is a relaxed structure of MgReO4, with properties calculated at the PBE level.

Structure (POSCAR):
```
MgReO4
1.0
3.2575 -3.3715 0.0000
3.2575 3.3715 0.0000
0.0000 0.0000 3.1003
O Re Mg
4 1 1
Cartesian
3.2575 -1.2645 0.0000
5.1039 0.0000 1.5502
3.2575 1.2645 0.0000
1.4111 0.0000 1.5502
3.2575 0.0000 1.5502
0.0000 0.0000 0.0000
```

## Properties
- formation energy (no corrections) (eV/atom) = -1.897

Record 7
Below is a relaxed structure of Pr2NdIn, with properties calculated at the PBE level.

Structure (POSCAR):
```
Pr2NdIn
1.0
-1.3194 -2.2405 5.0180
-1.7003 -5.3794 0.3337
3.3719 -3.8899 2.3324
In Pr Nd
1 2 1
Cartesian
0.0000 0.0000 0.0000
0.0880 -2.8774 1.9210
0.2641 -8.6323 5.7630
0.1761 -5.7549 3.8420
```

## Properties
- formation energy (eV per atom) = -0.13

Record 8
Below is a relaxed structure of Sm4Bi2AsS, with properties calculated at the PBE level.

Structure (POSCAR):
```
Sm4Bi2AsS
1.0
-3.3367 2.7285 -0.2816
-3.1587 -4.3936 -5.1434
-2.3356 -2.1459 6.8828
Bi Sm S As
2 4 1 1
Cartesian
-2.8362 0.2913 3.3006
-2.7471 -3.2698 0.8697
-2.8725 -3.7466 -2.2659
-5.8749 -3.6323 1.2912
-2.9561 -0.1788 0.1666
-2.6218 -2.7929 4.0053
0.0000 0.0000 0.0000
-3.2477 -0.8326 -2.7125
```

## Properties
- formation energy (no corrections) (eV/atom) = -1.316

Record 9
Below is a relaxed structure of Pm2DyErTl4, with properties calculated at the PBE level.

Structure (POSCAR):
```
Pm2DyErTl4
1.0
-4.1912 -2.1115 2.7036
-1.6635 -5.0380 -1.0886
3.6018 -5.5437 6.6790
Tl Dy Er Pm
4 1 1 2
Cartesian
-3.2117 -5.1598 1.8412
1.5216 -4.3598 4.3787
-3.7744 -8.3334 3.9152
0.9589 -7.5334 6.4528
-1.1264 -6.3466 4.1470
0.0000 0.0000 0.0000
-1.6832 -9.5236 6.2275
-0.5696 -3.1697 2.0664
```

## Properties
- formation energy (eV per atom) = -0.35

Record 10
Below is a relaxed structure of Cu2PRu, with properties calculated at the PBE level.

Structure (POSCAR):
```
Cu2PRu
1.0
-2.6116 0.2387 0.5861
1.6346 -1.5138 1.5024
1.7444 6.8355 4.9897
Cu Ru P
2 1 1
Cartesian
0.0162 0.0636 0.0465
0.8559 3.3541 2.4484
0.8198 4.4891 4.7865
-0.0524 1.0713 2.2917
```

## Properties
- formation energy (eV per atom) = 0.35

Record 11
Below is a relaxed structure of Ca2YOs, with properties calculated at the PBE level.

Structure (POSCAR):
```
Ca2YOs
1.0
-0.8806 2.1453 2.7154
1.5876 -2.9023 2.8078
5.9077 2.8822 -0.3611
Os Ca Y
1 2 1
Cartesian
1.8304 0.3420 2.6713
0.2377 0.1160 -0.0145
2.7161 1.3251 -0.1660
4.7842 1.7832 2.4908
```

## Properties
- formation energy (eV per atom) = 0.51

Record 12
Below is a relaxed structure of Na2O, with properties calculated at the PBE level.

Structure (POSCAR):
```
Na2O
1.0
8.6266 0.1149 0.0689
7.7425 3.8060 0.0689
7.7425 1.8545 3.3243
Na O
4 2
Cartesian
4.8241 1.1555 0.6927
19.2875 4.6199 2.7694
14.5217 3.4784 2.0851
9.5899 2.2971 1.3769
21.7016 5.1982 3.1160
2.4099 0.5773 0.3460
```

## Properties
- formation energy (no corrections) (eV/atom) = -1.131

Record 13
Below is a relaxed structure of Zn7SnPd4, with properties calculated at the PBE level.

Structure (POSCAR):
```
Zn7SnPd4
1.0
-4.6999 0.5604 -1.1763
-4.3639 -0.2254 7.2179
-1.8761 5.3328 -0.0744
Pd Sn Zn
4 1 7
Cartesian
-2.9407 0.8129 2.0261
-7.9992 4.8548 3.9411
-4.8726 3.4635 0.8968
-6.0673 2.2043 5.0704
0.0000 0.0000 0.0000
-5.4968 1.5043 2.4575
-2.3101 2.6479 0.3808
-3.4594 1.5391 4.4445
-2.3499 0.2802 -0.5881
-5.4431 4.1634 3.5097
-8.6297 3.0198 5.5863
-7.4805 4.1287 1.5227
```

## Properties
- formation energy (eV per atom) = -0.16

Record 14
Below is a relaxed structure of Nd2PuThAs4, with properties calculated at the PBE level.

Structure (POSCAR):
```
Nd2PuThAs4
1.0
4.2434 0.0000 0.0000
0.0000 7.3335 0.1209
0.0000 -2.5691 6.8870
As Th Pu Nd
4 1 1 2
Cartesian
2.1217 3.5932 5.3115
2.1217 1.1712 1.6964
0.0000 4.8724 1.7801
0.0000 -0.1080 5.2278
2.1217 3.6667 0.0605
0.0000 0.0000 0.0000
2.1217 -1.2846 3.4435
0.0000 2.3822 3.5040
```

## Properties
- formation energy (eV per atom) = -1.38

Record 15
Below is a relaxed structure of KAg2Os, with properties calculated at the PBE level.

Structure (POSCAR):
```
KAg2Os
1.0
-1.7655 -4.2062 1.8001
0.9147 -4.2545 2.2610
-1.0397 2.5511 6.3134
Ag Os K
2 1 1
Cartesian
-0.8825 -3.2357 4.7925
-0.9136 -8.1799 4.4559
-0.4726 -1.4774 2.5936
-1.4179 -4.4322 7.7809
```

## Properties
- formation energy (eV per atom) = 0.81

Record 16
Below is a relaxed structure of Th6InN8, with properties calculated at the PBE level.

Structure (POSCAR):
```
Th6InN8
1.0
6.2340 0.0000 3.5992
2.0780 5.8775 3.5992
0.0000 0.0000 7.1984
Th N In
6 8 1
Cartesian
4.1560 2.9387 3.5992
0.0000 0.0000 3.5992
3.1170 0.0000 5.3988
3.1170 0.0000 1.7996
1.0390 2.9387 1.7996
1.0390 2.9387 5.3988
3.0635 4.4838 9.0907
1.9710 1.3937 7.1984
5.2485 1.3937 9.0907
3.0635 4.4838 5.3061
6.2340 4.4081 10.7976
6.3410 4.4838 7.1984
5.2485 1.3937 5.3061
2.0780 1.4694 3.5992
0.0000 0.0000 0.0000
```

## Properties
- formation energy (no corrections) (eV/atom) = -1.176

Record 17
Below is a relaxed structure of Ba2In5Pb3, with properties calculated at the PBE level.

Structure (POSCAR):
```
Ba2In5Pb3
1.0
-5.7664 -4.5251 -1.8933
0.7379 -3.1443 -9.8680
2.9816 -9.9345 -0.4730
Ba In Pb
4 10 6
Cartesian
-0.3683 -8.2355 -9.4660
-2.1623 -13.7944 -5.8518
0.1154 -3.8094 -6.3826
-1.6785 -9.3683 -2.7683
-2.4650 -9.9332 -6.5905
0.8458 -3.1939 -2.5104
-1.9393 -2.5083 -3.2342
-4.2526 -6.4955 -1.7945
-0.1076 -15.0955 -9.0001
-2.8927 -14.4099 -9.7239
2.2057 -11.1083 -10.4398
-2.0374 -5.4564 -3.4571
0.4182 -7.6706 -5.6438
-0.0095 -12.1474 -8.7773
-1.4416 -1.1313 -0.4733
-2.5305 -6.8595 -6.1697
0.4836 -10.7443 -6.0646
0.9021 -6.2593 -2.9230
-2.9489 -11.3445 -9.3113
-4.3248 -3.3938 -1.4200
```

## Properties
- formation energy (eV per atom) = -0.27

Record 18
Below is a relaxed structure of MgZnSnAu, with properties calculated at the PBE level.

Structure (POSCAR):
```
MgZnSnAu
1.0
-2.4278 -1.7073 3.8276
0.1044 -4.7339 1.0192
2.4139 -1.5876 3.8875
Au Sn Zn Mg
1 1 1 1
Cartesian
0.0000 0.0000 0.0000
0.0226 -2.0072 2.1836
0.0452 -4.0144 4.3672
0.0679 -6.0216 6.5508
```

## Properties
- formation energy (eV per atom) = -0.14

Record 19
Below is a relaxed structure of K2SrGeAs, with properties calculated at the PBE level.

Structure (POSCAR):
```
K2SrGeAs
1.0
-6.3451 -1.2857 3.1613
-2.3635 -0.5505 -4.9677
1.4700 -7.0526 0.0822
K Sr Ge As
2 1 1 1
Cartesian
0.7350 -3.5263 0.0411
-3.1726 -0.6428 1.5806
0.0000 0.0000 0.0000
-3.6193 -4.4444 -0.8621
-1.1817 -0.2753 -2.4838
```

## Properties
- formation energy (eV per atom) = 0.60

Record 20
Below is a relaxed structure of Mn2Nb4V, with properties calculated at the PBE level.

Structure (POSCAR):
```
Mn2Nb4V
1.0
4.5706 0.0000 0.0000
0.0000 4.5706 0.0000
2.2853 2.2853 6.2952
Mn Nb V
2 4 1
Cartesian
4.5706 4.5706 4.8125
2.2853 2.2853 1.4827
4.5706 4.5706 2.5019
0.0000 2.2853 0.0000
2.2853 2.2853 3.7932
2.2853 0.0000 0.0000
0.0000 0.0000 0.0000
```

## Properties
- formation energy (eV per atom) = 0.99

Record 21
Below is a relaxed structure of Y3Ho8Pu, with properties calculated at the PBE level.

Structure (POSCAR):
```
Y3Ho8Pu
1.0
8.6083 0.0000 0.0000
-4.3042 5.6565 4.3042
0.0000 0.0000 8.6083
Ho Pu Y
8 1 3
Cartesian
-1.0891 2.6170 7.5192
1.0891 2.6170 9.6975
1.9809 0.3862 6.6274
6.6274 0.3862 1.9809
2.3233 5.2703 10.9316
-2.3233 5.2703 6.2851
3.2150 3.0395 5.3933
5.3933 3.0395 3.2150
0.0000 0.0000 0.0000
4.3042 0.0000 4.3042
4.3042 2.8283 8.6083
0.0000 2.8283 4.3042
```

## Properties
- formation energy (eV per atom) = 0.60

Record 22
Below is a relaxed structure of Li2GaAg6, with properties calculated at the PBE level.

Structure (POSCAR):
```
Li2GaAg6
1.0
-3.5587 2.2852 1.3992
-4.8329 -6.4340 -1.7840
1.1063 -2.9432 7.6176
Li Ag Ga
4 12 2
Cartesian
-2.3928 -1.0163 2.6629
-3.1496 -5.0588 0.2523
-4.8926 -6.0758 4.5699
-4.1357 -2.0333 6.9805
-5.7585 -4.2632 -0.5924
-6.2214 -3.5761 4.1978
-3.9516 -3.2027 2.2690
-2.0890 -6.6168 5.4912
-3.3337 -3.8893 4.9638
-7.3541 -6.4290 5.9741
-5.5711 -5.5331 1.9576
-1.7142 -1.5590 5.2752
-5.1964 -0.4752 1.7416
-1.0639 -3.5159 3.0350
-1.5269 -2.8288 7.8252
0.0688 -0.6631 1.2587
0.5531 -1.4716 3.8088
-4.1958 -2.0744 -0.1924
```

## Properties
- formation energy (eV per atom) = -0.15

Record 23
Below is a relaxed structure of Mn2RhBr, with properties calculated at the PBE level.

Structure (POSCAR):
```
Mn2RhBr
1.0
7.1361 0.0000 0.0000
0.0000 7.1361 0.0000
3.5680 3.5680 2.7762
Br Mn Rh
2 4 2
Cartesian
3.5680 3.5680 0.0000
3.5680 7.1361 1.3881
8.9201 8.9646 2.0822
5.3966 1.7840 0.6941
5.3521 5.3075 2.0822
1.7395 5.3521 0.6941
7.1361 3.5680 1.3881
0.0000 0.0000 0.0000
```

## Properties
- formation energy (no corrections) (eV/atom) = 0.522

Record 24
Below is a relaxed structure of Rb3PmSc2S6, with properties calculated at the PBE level.

Structure (POSCAR):
```
Rb3PmSc2S6
1.0
6.8960 -0.0008 -0.0013
-3.4470 5.9727 -0.0013
-1.1518 -1.9943 7.6485
Pm Rb S Sc
1 3 6 2
Cartesian
0.0000 0.0000 0.0000
4.6268 -0.0200 3.8230
1.1486 1.9888 3.8230
-2.3296 3.9976 3.8230
-0.1319 3.9780 6.2141
2.2341 3.8684 1.4231
2.4291 -0.0005 1.4318
0.0630 0.1092 6.2229
-1.2144 2.1038 1.4318
3.5116 1.8738 6.2141
3.4510 1.9888 -0.0013
-0.0020 3.9830 -0.0013
```

## Properties
- formation energy (no corrections) (eV/atom) = -1.739